A relaxed structure of Na8B13C3. Source: the Alexandria database, functional PBE.

Summary:
Spin magnetization = 0.01 Bohr magnetons per cell
Calculated formation energy = 200 meV per atom
Volume = 259 Å³/f.u.
Offset from the most stable computed form = 0.018 eV/atom
Space group = Cm (8)

a = 9.1214 Å, b = 9.1214 Å, c = 10.5000 Å
α = 106.78°, β = 106.78°, γ = 18.03°
Element x y z (fractional)
Na 0.0000 0.0000 0.0000
Na 0.9999 0.9999 0.4993
Na 0.2515 0.2515 0.1252
Na 0.2518 0.2518 0.6250
Na 0.4977 0.4977 0.2483
Na 0.4991 0.4991 0.7482
Na 0.7501 0.7501 0.8739
Na 0.7518 0.7518 0.3758
B 0.1254 0.1254 0.2454
B 0.1254 0.1254 0.7275
B 0.1247 0.1247 0.8903
B 0.3752 0.3752 0.0106
B 0.3752 0.3752 0.5110
B 0.6248 0.6248 0.4678
B 0.6249 0.6249 0.9879
B 0.6256 0.6256 0.1492
B 0.6257 0.6257 0.6340
B 0.8753 0.8753 0.1055
B 0.8749 0.8749 0.6055
B 0.8752 0.8752 0.7795
B 0.8755 0.8755 0.2793
C 0.1246 0.1246 0.3953
C 0.3751 0.3751 0.8535
C 0.3756 0.3756 0.3537